# 1
## Ba2Cl (PBE)

Data for a geometry-optimized Ba2Cl structure.

Results
As for the formation energy from raw total energies: -1.1575 eV/atom. The value obtained for the total moment is 1.066 μB per formula unit.

The structure in CIF format:
```
data_Ba2Cl
_symmetry_space_group_name_H-M 'P n n m'
_symmetry_Int_Tables_number 58
_symmetry_space_group_name_Hall '-P 2 2n'
_cell_length_a 7.449
_cell_length_b 8.158
_cell_length_c 4.556
_cell_angle_alpha 90.00
_cell_angle_beta 90.00
_cell_angle_gamma 90.00
loop_
_atom_site_label
_atom_site_type_symbol
_atom_site_fract_x
_atom_site_fract_y
_atom_site_fract_z
_atom_site_occupancy
Ba1 Ba 0.236 0.170 0.000 1
Cl1 Cl 0.000 0.500 0.000 1
```

=====

# 2
## BaCl3 (PBE)

Data for a geometry-optimized BaCl3 structure.

Results
As for the formation energy from raw total energies: -1.5333 eV/atom. The value obtained for the total moment is 1.014 μB per formula unit.

The structure in CIF format:
```
data_BaCl3
_symmetry_space_group_name_H-M 'P -6 m 2'
_symmetry_Int_Tables_number 187
_symmetry_space_group_name_Hall 'P -6 2'
_cell_length_a 5.2659
_cell_length_b 5.2659
_cell_length_c 6.1429
_cell_angle_alpha 90.00
_cell_angle_beta 90.00
_cell_angle_gamma 120.00
loop_
_atom_site_label
_atom_site_type_symbol
_atom_site_fract_x
_atom_site_fract_y
_atom_site_fract_z
_atom_site_occupancy
Ba1 Ba 0.0000 0.0000 0.0000 1
Cl1 Cl 0.0000 0.0000 0.5000 1
Cl2 Cl 0.6667 0.3333 0.2148 1
```

=====

# 3
## BaCl3 (PBE)

Data for a geometry-optimized BaCl3 structure.

Results
As for the formation energy from raw total energies: -1.6170 eV/atom. The value obtained for the total moment is 1.044 μB per formula unit.

The structure in CIF format:
```
data_BaCl3
_symmetry_space_group_name_H-M 'I 4/m m m'
_symmetry_Int_Tables_number 139
_symmetry_space_group_name_Hall '-I 4 2'
_cell_length_a 4.780
_cell_length_b 4.780
_cell_length_c 9.521
_cell_angle_alpha 90.00
_cell_angle_beta 90.00
_cell_angle_gamma 90.00
loop_
_atom_site_label
_atom_site_type_symbol
_atom_site_fract_x
_atom_site_fract_y
_atom_site_fract_z
_atom_site_occupancy
Ba1 Ba 0.000 0.000 0.000 1
Cl1 Cl 0.000 0.000 0.500 1
Cl2 Cl 0.000 0.500 0.250 1
```

=====

# 4
## BaCl5 (PBE)

Data for a geometry-optimized BaCl5 structure.

Results
As for the formation energy from raw total energies: -0.8173 eV/atom. The value obtained for the total moment is 3.055 μB per formula unit.

The structure in CIF format:
```
data_BaCl5
_symmetry_space_group_name_H-M 'P -6 2 m'
_symmetry_Int_Tables_number 189
_symmetry_space_group_name_Hall 'P -6 -2'
_cell_length_a 5.6760
_cell_length_b 5.6760
_cell_length_c 6.1682
_cell_angle_alpha 90.00
_cell_angle_beta 90.00
_cell_angle_gamma 120.00
loop_
_atom_site_label
_atom_site_type_symbol
_atom_site_fract_x
_atom_site_fract_y
_atom_site_fract_z
_atom_site_occupancy
Ba1 Ba 0.0000 0.0000 0.0000 1
Cl1 Cl 0.0000 0.7204 0.5000 1
Cl2 Cl 0.3333 0.6667 0.0000 1
```